# 1
Here is Cr3Fe3GeAs2 at its PBEsol-relaxed geometry from Alexandria. Energies are from SCAN.

## Properties
As for the density: 8.230 Mg/m³. The calculation puts the formation energy from the elements at -186 meV/atom. Its final energy is -170.683 eV/f.u. As for the crystal system: hexagonal.

a = 5.8921 Å, b = 5.8921 Å, c = 3.6641 Å
α = 90.00°, β = 90.00°, γ = 120.00°
Space group P-62m (No. 189)
One atom of each set of equivalent atoms:
Cr  0.0000  0.4208  0.0000
Fe  0.0000  0.7542  0.5000
Ge  0.0000  0.0000  0.0000
As  0.3333  0.6667  0.5000

---

# 2
Here is NdBr2Cl at its PBEsol-relaxed geometry from Alexandria. Energies are from SCAN.

## Properties
As for the density: 5.120 Mg/m³. Its final energy is -99.566 eV/f.u. As for the crystal system: monoclinic.

a = 7.588 Å, b = 4.276 Å, c = 7.754 Å
α = 90.00°, β = 118.91°, γ = 90.00°
Space group Pm (No. 6)
One atom of each set of equivalent atoms:
Nd  0.000  0.000  0.000
Nd  0.337  0.500  0.671
Br  0.041  0.000  0.630
Br  0.384  0.000  0.422
Br  0.575  0.000  0.959
Br  0.967  0.500  0.255
Cl  0.258  0.500  0.018
Cl  0.756  0.500  0.746

---

# 3
Here is La3Mg at its PBEsol-relaxed geometry from Alexandria. Energies are from SCAN.

## Properties
As for the density: 5.782 Mg/m³. The calculation puts the formation energy from the elements at -49 meV/atom. Its final energy is -134.483 eV/f.u. As for the crystal system: cubic.

a = 5.022 Å, b = 5.022 Å, c = 5.022 Å
α = 90.00°, β = 90.00°, γ = 90.00°
Space group Pm-3m (No. 221)
One atom of each set of equivalent atoms:
La  0.000  0.000  0.500
Mg  0.500  0.500  0.500

---

# 4
Here is Li2MgZn at its PBEsol-relaxed geometry from Alexandria. Energies are from SCAN.

## Properties
As for the density: 2.504 Mg/m³. The calculation puts the formation energy from the elements at -117 meV/atom. Its final energy is -23.735 eV/f.u. As for the crystal system: tetragonal.

a = 3.123 Å, b = 3.123 Å, c = 7.042 Å
α = 90.00°, β = 90.00°, γ = 90.00°
Space group P4mm (No. 99)
One atom of each set of equivalent atoms:
Li  0.000  0.000  0.000
Li  0.500  0.500  0.253
Mg  0.000  0.000  0.543
Zn  0.500  0.500  0.800

---

# 5
Here is BaPbAu at its PBEsol-relaxed geometry from Alexandria. Energies are from SCAN.

## Properties
As for the density: 9.924 Mg/m³. The calculation puts the formation energy from the elements at -794 meV/atom. Its final energy is -186.869 eV/f.u. As for the crystal system: hexagonal.

a = 5.0199 Å, b = 5.0199 Å, c = 4.1519 Å
α = 90.00°, β = 90.00°, γ = 120.00°
Space group P-6m2 (No. 187)
One atom of each set of equivalent atoms:
Ba  0.0000  0.0000  0.0000
Pb  0.6667  0.3333  0.5000
Au  0.3333  0.6667  0.5000

---

# 6
Here is HfMnNi2Pt at its PBEsol-relaxed geometry from Alexandria. Energies are from SCAN.

## Properties
As for the density: 10.630 Mg/m³. The calculation puts the formation energy from the elements at 1291 meV/atom. Its final energy is -177.013 eV/f.u. As for the crystal system: tetragonal.

a = 4.356 Å, b = 4.356 Å, c = 4.494 Å
α = 90.00°, β = 90.00°, γ = 90.00°
Space group P4/mmm (No. 123)
One atom of each set of equivalent atoms:
Hf  0.000  0.000  0.000
Mn  0.000  0.000  0.500
Ni  0.000  0.500  0.000
Pt  0.500  0.500  0.500

---

- Among the records above, which one has the highest final energy?
  Li2MgZn